A plane-wave DFT calculation with PBE was carried out for a relaxed structure of NaMg2SnPt.

Unit cell a=5.119 b=5.119 c=5.136 alpha=90.00 beta=90.00 gamma=90.00
Positions (direct):
Na: 0.000 0.000 0.000
Mg: 0.000 0.500 0.500
Mg: 0.500 0.000 0.500
Sn: 0.500 0.500 0.000
Pt: 0.500 0.500 0.500

Values from the calculation:
**Formation enthalpy at 0 K**: -304 meV/atom
**Magnetic moment**: 0.000 Bohr magnetons per cell
**Symmetry**: No. 123
**E**: -16.07 eV for the cell shown

=====

A plane-wave DFT calculation with PBE was carried out for a relaxed structure of TcW2AuBr.

Unit cell a=4.586 b=4.586 c=4.518 alpha=90.00 beta=90.00 gamma=90.00
Positions (direct):
Tc: 0.000 0.000 0.000
W: 0.000 0.500 0.500
W: 0.500 0.000 0.500
Au: 0.500 0.500 0.000
Br: 0.000 0.000 0.500

Values from the calculation:
**Magnetic moment**: 0.000 Bohr magnetons per cell
**Symmetry**: No. 123
**Uncorrected formation energy**: 1909 meV/atom
**E**: -31.68 eV for the cell shown